The following is a PBE+U calculation of a relaxed BeCoNO crystal, from OQMD via LeMat-Bulk.

Output
DFT total energy: -46.18 eV per cell
SG: P4/nmm (129)

abc: 3.2278 3.2278 6.7933
angles: 90.00 90.00 90.00
Closest atoms and distances in Å follow each position.
Positions (direct):
1 N 0.2500 0.2500 0.6098  4 Be 1.78
2 Co 0.2500 0.2500 0.1562  4 O 1.93
3 O 0.7500 0.2500 0.0000  4 Co 1.93
4 O 0.2500 0.7500 0.0000  4 Co 1.93
5 Be 0.7500 0.2500 0.5000  4 N 1.78
6 N 0.7500 0.7500 0.3902  4 Be 1.78
7 Co 0.7500 0.7500 0.8438  4 O 1.93
8 Be 0.2500 0.7500 0.5000  4 N 1.78